#1
CrP3H: optimized geometry, PBE.

Unit cell a=4.347 b=4.347 c=4.347 alpha=90.00 beta=90.00 gamma=90.00
Fractional coordinates of all 5 atoms:
Cr (0.000, 0.000, 0.000)
P (0.000, 0.000, 0.500)
P (0.000, 0.500, 0.000)
P (0.500, 0.000, 0.000)
H (0.500, 0.500, 0.500)

---

#2
CrP3H: optimized geometry, PBE.

Unit cell a=3.940 b=3.940 c=3.940 alpha=90.00 beta=90.00 gamma=90.00
Fractional coordinates of all 5 atoms:
Cr (0.000, 0.000, 0.000)
P (0.000, 0.500, 0.500)
P (0.500, 0.000, 0.500)
P (0.500, 0.500, 0.000)
H (0.500, 0.500, 0.500)

---

Tell me which of them is the least stable. Sure, it is #1.

---

#1
Cr3PH: optimized geometry, PBE.

Unit cell a=3.650 b=3.650 c=3.650 alpha=90.00 beta=90.00 gamma=90.00
Fractional coordinates of all 5 atoms:
Cr (0.000, 0.000, 0.500)
Cr (0.000, 0.500, 0.000)
Cr (0.500, 0.000, 0.000)
P (0.500, 0.500, 0.500)
H (0.000, 0.000, 0.000)

---

#2
Cr3PH: optimized geometry, PBE.

Unit cell a=2.780 b=6.211 c=6.658 alpha=97.22 beta=101.86 gamma=90.08
Fractional coordinates of all 10 atoms:
Cr (0.015, 0.163, 0.022)
Cr (0.190, 0.631, 0.378)
Cr (0.319, 0.018, 0.654)
Cr (0.681, 0.982, 0.346)
Cr (0.810, 0.369, 0.622)
Cr (0.985, 0.837, 0.978)
P (0.360, 0.658, 0.724)
P (0.640, 0.342, 0.276)
H (0.127, 0.837, 0.237)
H (0.873, 0.163, 0.763)

---

Tell me which of them is the least stable. Sure, it is #2.

---

#1
Cr2HPb: optimized geometry, PBE.

Unit cell a=5.712 b=5.712 c=5.712 alpha=128.81 beta=128.81 gamma=75.32
Fractional coordinates of all 8 atoms:
Cr (0.000, 0.000, 0.000)
Cr (0.000, 0.000, 0.500)
Cr (0.000, 0.500, 0.000)
Cr (0.500, 0.000, 0.500)
H (0.125, 0.875, 0.250)
H (0.875, 0.125, 0.750)
Pb (0.375, 0.625, 0.750)
Pb (0.625, 0.375, 0.250)

---

#2
Cr2HPb: optimized geometry, PBE.

Unit cell a=4.547 b=4.547 c=4.547 alpha=60.00 beta=60.00 gamma=60.00
Fractional coordinates of all 4 atoms:
Cr (0.250, 0.250, 0.250)
Cr (0.750, 0.750, 0.750)
H (0.000, 0.000, 0.000)
Pb (0.500, 0.500, 0.500)

---

Tell me which of them is the least stable. Sure, it is #2.

---

#1
Cr3HPb: optimized geometry, PBE.

Unit cell a=3.926 b=3.926 c=3.926 alpha=90.00 beta=90.00 gamma=90.00
Fractional coordinates of all 5 atoms:
Cr (0.000, 0.000, 0.500)
Cr (0.000, 0.500, 0.000)
Cr (0.500, 0.000, 0.000)
H (0.000, 0.000, 0.000)
Pb (0.500, 0.500, 0.500)

---

#2
Cr3HPb: optimized geometry, PBE.

Unit cell a=5.338 b=5.338 c=5.338 alpha=90.00 beta=90.00 gamma=90.00
Fractional coordinates of all 5 atoms:
Cr (0.000, 0.000, 0.500)
Cr (0.000, 0.500, 0.000)
Cr (0.500, 0.000, 0.000)
H (0.500, 0.500, 0.500)
Pb (0.000, 0.000, 0.000)

---

Tell me which of them is the least stable. Sure, it is #2.

---

#1
YCrHPb2: optimized geometry, PBE.

Unit cell a=5.683 b=5.683 c=3.408 alpha=90.00 beta=90.00 gamma=90.00
Fractional coordinates of all 5 atoms:
Y (0.000, 0.000, 0.000)
Cr (0.500, 0.500, 0.500)
H (0.500, 0.500, 0.000)
Pb (0.000, 0.500, 0.500)
Pb (0.500, 0.000, 0.500)

---

#2
YCrHPb2: optimized geometry, PBE.

Unit cell a=4.941 b=4.941 c=4.358 alpha=90.00 beta=90.00 gamma=90.00
Fractional coordinates of all 5 atoms:
Y (0.000, 0.000, 0.000)
Cr (0.500, 0.500, 0.000)
H (0.000, 0.000, 0.500)
Pb (0.000, 0.500, 0.500)
Pb (0.500, 0.000, 0.500)

---

Tell me which of them is the least stable. Sure, it is #2.

---

#1
Cr2HPd: optimized geometry, PBE.

Unit cell a=2.830 b=3.658 c=4.936 alpha=111.41 beta=105.88 gamma=90.11
Fractional coordinates of all 4 atoms:
Cr (0.000, 0.000, 0.000)
Cr (0.347, 0.287, 0.709)
H (0.515, 0.726, 0.035)
Pd (0.689, 0.621, 0.384)

---

#2
Cr2HPd: optimized geometry, PBE.

Unit cell a=6.702 b=6.702 c=6.702 alpha=23.10 beta=23.10 gamma=23.10
Fractional coordinates of all 4 atoms:
Cr (0.000, 0.000, 0.000)
Cr (0.223, 0.223, 0.223)
H (0.613, 0.613, 0.613)
Pd (0.444, 0.444, 0.444)

---

Tell me which of them is the least stable. Sure, it is #1.

---

#1
CrH2Pd2: optimized geometry, PBE.

Unit cell a=5.354 b=5.354 c=5.354 alpha=144.28 beta=144.28 gamma=51.41
Fractional coordinates of all 5 atoms:
Cr (0.000, 0.000, 0.000)
H (0.250, 0.750, 0.500)
H (0.750, 0.250, 0.500)
Pd (0.348, 0.348, 0.000)
Pd (0.652, 0.652, 0.000)

---

#2
CrH2Pd2: optimized geometry, PBE.

Unit cell a=5.487 b=5.487 c=3.661 alpha=90.00 beta=90.00 gamma=90.00
Fractional coordinates of all 10 atoms:
Cr (0.000, 0.000, 0.000)
Cr (0.500, 0.500, 0.000)
H (0.181, 0.319, 0.000)
H (0.319, 0.819, 0.000)
H (0.681, 0.181, 0.000)
H (0.819, 0.681, 0.000)
Pd (0.180, 0.320, 0.500)
Pd (0.320, 0.820, 0.500)
Pd (0.680, 0.180, 0.500)
Pd (0.820, 0.680, 0.500)

---

Tell me which of them is the least stable. Sure, it is #1.

---

#1
CrHPd2: optimized geometry, PBE.

Unit cell a=2.673 b=2.673 c=6.433 alpha=90.00 beta=90.00 gamma=90.00
Fractional coordinates of all 4 atoms:
Cr (0.000, 0.000, 0.000)
H (0.000, 0.000, 0.500)
Pd (0.500, 0.500, 0.288)
Pd (0.500, 0.500, 0.712)

---

#2
CrHPd2: optimized geometry, PBE.

Unit cell a=4.181 b=4.181 c=4.181 alpha=60.00 beta=60.00 gamma=60.00
Fractional coordinates of all 4 atoms:
Cr (0.000, 0.000, 0.000)
H (0.500, 0.500, 0.500)
Pd (0.250, 0.250, 0.250)
Pd (0.750, 0.750, 0.750)

---

Tell me which of them is the least stable. Sure, it is #2.

---

#1
CrHPd2: optimized geometry, PBE.

Unit cell a=5.011 b=5.011 c=5.011 alpha=104.20 beta=104.20 gamma=120.63
Fractional coordinates of all 8 atoms:
Cr (0.000, 0.000, 0.000)
Cr (0.750, 0.250, 0.500)
H (0.250, 0.750, 0.500)
H (0.500, 0.500, 0.000)
Pd (0.228, 0.625, 0.103)
Pd (0.375, 0.478, 0.603)
Pd (0.522, 0.125, 0.897)
Pd (0.875, 0.772, 0.397)

---

#2
CrHPd2: optimized geometry, PBE.

Unit cell a=6.898 b=6.898 c=6.898 alpha=23.27 beta=23.27 gamma=23.27
Fractional coordinates of all 4 atoms:
Cr (0.000, 0.000, 0.000)
H (0.164, 0.164, 0.164)
Pd (0.564, 0.564, 0.564)
Pd (0.770, 0.770, 0.770)

---

Tell me which of them is the least stable. Sure, it is #1.

---

#1
Cr2HPdPt: optimized geometry, PBE.

Unit cell a=3.838 b=3.838 c=3.898 alpha=90.00 beta=90.00 gamma=90.00
Fractional coordinates of all 5 atoms:
Cr (0.000, 0.500, 0.000)
Cr (0.500, 0.000, 0.000)
H (0.000, 0.000, 0.000)
Pd (0.500, 0.500, 0.500)
Pt (0.000, 0.000, 0.500)

---

#2
Cr2HPdPt: optimized geometry, PBE.

Unit cell a=3.818 b=3.818 c=3.911 alpha=90.00 beta=90.00 gamma=90.00
Fractional coordinates of all 5 atoms:
Cr (0.000, 0.500, 0.000)
Cr (0.500, 0.000, 0.000)
H (0.000, 0.000, 0.000)
Pd (0.000, 0.000, 0.500)
Pt (0.500, 0.500, 0.500)

---

Tell me which of them is the least stable. Sure, it is #1.

---

#1
CrHPdRh2: optimized geometry, PBE.

Unit cell a=3.883 b=3.883 c=3.915 alpha=90.00 beta=90.00 gamma=90.00
Fractional coordinates of all 5 atoms:
Cr (0.000, 0.000, 0.000)
H (0.000, 0.000, 0.500)
Pd (0.500, 0.500, 0.000)
Rh (0.000, 0.500, 0.500)
Rh (0.500, 0.000, 0.500)

---

#2
CrHPdRh2: optimized geometry, PBE.

Unit cell a=3.908 b=3.908 c=3.907 alpha=90.00 beta=90.00 gamma=90.00
Fractional coordinates of all 5 atoms:
Cr (0.000, 0.000, 0.000)
H (0.500, 0.500, 0.500)
Pd (0.500, 0.500, 0.000)
Rh (0.000, 0.500, 0.500)
Rh (0.500, 0.000, 0.500)

---

Tell me which of them is the least stable. Sure, it is #2.

---

#1
CrHPd2Rh: optimized geometry, PBE.

Unit cell a=3.951 b=3.951 c=3.924 alpha=90.00 beta=90.00 gamma=90.00
Fractional coordinates of all 5 atoms:
Cr (0.000, 0.000, 0.000)
H (0.500, 0.500, 0.500)
Pd (0.000, 0.500, 0.500)
Pd (0.500, 0.000, 0.500)
Rh (0.500, 0.500, 0.000)

---

#2
CrHPd2Rh: optimized geometry, PBE.

Unit cell a=3.888 b=3.888 c=4.027 alpha=90.00 beta=90.00 gamma=90.00
Fractional coordinates of all 5 atoms:
Cr (0.000, 0.000, 0.000)
H (0.000, 0.000, 0.500)
Pd (0.000, 0.500, 0.500)
Pd (0.500, 0.000, 0.500)
Rh (0.500, 0.500, 0.000)

---

Tell me which of them is the least stable. Sure, it is #2.